Y2TlGaPt: relaxed, PBE.

POSCAR file:
```
Y2TlGaPt
1.0
-5.109 0.756 -2.370
-2.238 -3.761 3.625
-0.915 3.533 3.101
Pt Tl Y Ga
1 1 2 1
Direct
0.500 0.500 0.500
0.000 0.000 0.000
0.500 0.000 0.000
0.000 0.500 0.000
0.000 0.000 0.500
```

## Properties
Calculated volume in Å³/atom: 30.9
Symmetry: P4/mmm, No. 123
E_form in eV/f.u.: 2.79
Calculated density in g cm⁻³: 6.9
DFT total energy in eV per atom: -4.32

***

Ga2Co2B: relaxed, PBE.

POSCAR file:
```
Ga2Co2B
1.0
6.519 0.000 0.000
0.000 6.519 0.000
0.000 0.000 2.868
Ga Co B
4 4 2
Direct
0.653 0.153 0.000
0.347 0.847 0.000
0.153 0.347 0.000
0.847 0.653 0.000
0.147 0.647 0.500
0.647 0.853 0.500
0.853 0.353 0.500
0.353 0.147 0.500
0.000 0.000 0.000
0.500 0.500 0.000
```

## Properties
Energy above the most stable polymorph in this dataset in meV per atom: 724
Calculated volume in Å³/atom: 12.2
Symmetry: P4/mbm, No. 127
E_form in eV/f.u.: 2.85
Calculated density in g cm⁻³: 7.3
DFT total energy in eV per atom: -4.82

***

TlP2Br: relaxed, PBE.

POSCAR file:
```
TlP2Br
1.0
7.143 0.000 -0.012
0.000 4.767 0.000
-0.126 0.000 8.306
Br P Tl
2 4 2
Direct
0.026 0.000 0.979
0.026 0.500 0.479
0.497 0.500 0.231
0.497 0.000 0.731
0.391 0.500 0.016
0.391 0.000 0.516
0.819 0.500 0.806
0.819 0.000 0.306
```

## Properties
Energy above the most stable polymorph in this dataset in meV per atom: 151
Uncorrected formation energy in meV/atom: 32
Calculated volume in Å³/atom: 35.4
Symmetry: Cm, No. 8
Calculated density in g cm⁻³: 4.1
DFT total energy in eV per atom: -3.68

***

BaSiPb3: relaxed, PBE.

POSCAR file:
```
BaSiPb3
1.0
-5.975 1.254 1.317
-0.196 -4.941 3.814
1.808 3.608 4.767
Ba Si Pb
1 1 3
Direct
0.000 0.000 0.000
0.500 0.500 0.500
0.000 0.000 0.500
0.000 0.500 0.000
0.500 0.000 0.000
```

## Properties
Energy above the most stable polymorph in this dataset in meV per atom: 1254
Uncorrected formation energy in meV/atom: 1329
Calculated volume in Å³/atom: 48.7
Symmetry: Pm-3m, No. 221
Calculated density in g cm⁻³: 5.4
DFT total energy in eV per atom: -2.37